A plane-wave DFT calculation with PBE was carried out for a relaxed structure of SrMgTlIn.

Cell: 7.698 7.698 7.698 Å, 90.00 90.00 90.00°
Space group F-43m (No. 216)
Unique sites:
Sr 0.000 0.000 0.000 x4
Mg 0.000 0.000 0.500 x4
Tl 0.250 0.250 0.250 x4
In 0.250 0.250 0.750 x4

## Properties
- Energy relative to the elements: -0.28 eV per atom
- Energy: -2.376 eV/atom
- ρ: 6.28 g/cm3